VASP calculation (SCAN) on a crystal of Y3HgW relaxed with PBEsol.

The energy of formation from the pure elements is 1050 meV/atom. Its total energy is -43.226 eV/atom.

Cell and atoms, written as POSCAR:
```
Y3HgW
1.0
-0.673 -2.919 -4.533
0.733 -4.575 2.837
-5.341 -0.260 0.961
Y Hg W
3 1 1
direct
0.000 0.500 0.000
0.000 0.000 0.500
0.500 0.000 0.000
0.000 0.000 0.000
0.500 0.500 0.500
```

VASP calculation (SCAN) on a crystal of K2LaMo relaxed with PBEsol.

The energy of formation from the pure elements is 1187 meV/atom. Its total energy is -22.475 eV/atom.

Cell and atoms, written as POSCAR:
```
K2LaMo
1.0
5.671 0.000 0.000
2.836 4.912 0.000
2.836 1.637 4.631
K La Mo
2 1 1
direct
0.000 0.000 0.000
0.750 0.750 0.750
0.500 0.500 0.500
0.250 0.250 0.250
```